1.
VASP calculation (PBE-GGA) on NdCuSnTe3 after structural relaxation.

Cell: 9.259 4.242 9.550 Å, 90.00 98.15 90.00°
Atoms (fractional coordinates):
Nd1 0.152 0.250 0.243
Nd2 0.848 0.750 0.757
Cu1 0.064 0.250 0.571
Cu2 0.936 0.750 0.429
Sn1 0.350 0.750 0.842
Sn2 0.650 0.250 0.158
Te1 0.101 0.250 0.863
Te2 0.221 0.750 0.501
Te3 0.392 0.750 0.162
Te4 0.608 0.250 0.838
Te5 0.779 0.250 0.499
Te6 0.899 0.750 0.137

Results
Formation energy from raw total energies in eV per atom: -0.698
Density in g/cm³: 6.344
Size of the total moment in μB/cell: 0.00

---

2.
VASP calculation (PBE-GGA) on PmTmCuPd after structural relaxation.

Cell: 7.039 7.039 7.039 Å, 90.00 90.00 90.00°
Atoms (fractional coordinates):
Pm1 0.000 0.000 0.000
Pm2 0.000 0.500 0.500
Pm3 0.500 0.000 0.500
Pm4 0.500 0.500 0.000
Tm1 0.000 0.000 0.500
Tm2 0.000 0.500 0.000
Tm3 0.500 0.000 0.000
Tm4 0.500 0.500 0.500
Cu1 0.250 0.250 0.250
Cu2 0.250 0.750 0.750
Cu3 0.750 0.250 0.750
Cu4 0.750 0.750 0.250
Pd1 0.250 0.250 0.750
Pd2 0.250 0.750 0.250
Pd3 0.750 0.250 0.250
Pd4 0.750 0.750 0.750

Results
Formation energy in eV per atom: -0.536
Density of states at the Fermi level in states/eV/f.u.: 2.6
Density in g/cm³: 9.216
Size of the total moment in μB/cell: 0.00

---

3.
VASP calculation (PBE-GGA) on Na2AcZnF8 after structural relaxation.

Cell: 4.315 7.423 5.527 Å, 90.00 92.66 90.00°
Atoms (fractional coordinates):
Na1 0.000 0.227 0.000
Na2 0.000 0.773 0.000
Ac1 0.500 0.500 0.500
Zn1 0.500 0.000 0.500
F1 0.017 0.500 0.250
F2 0.135 0.000 0.287
F3 0.399 0.215 0.725
F4 0.399 0.785 0.725
F5 0.601 0.215 0.275
F6 0.601 0.785 0.275
F7 0.865 0.000 0.713
F8 0.983 0.500 0.750

Results
Formation energy from raw total energies in eV per atom: -2.847
Density of states at the Fermi level in states/eV/f.u.: 3.3
Density in g/cm³: 4.604
Size of the total moment in μB/cell: 1.10

---

4.
VASP calculation (PBE-GGA) on Tc7Os after structural relaxation.

Cell: 5.488 5.488 5.488 Å, 60.00 60.00 60.00°
Atoms (fractional coordinates):
Tc1 0.000 0.000 0.000
Tc2 0.000 0.000 0.500
Tc3 0.000 0.500 0.000
Tc4 0.000 0.500 0.500
Tc5 0.500 0.000 0.000
Tc6 0.500 0.000 0.500
Tc7 0.500 0.500 0.000
Os1 0.500 0.500 0.500

Results
Formation energy in eV per atom: 0.069
Density of states at the Fermi level in states/eV/f.u.: 13.5
Density in g/cm³: 12.452
Size of the total moment in μB/cell: 0.00

---

5.
VASP calculation (PBE-GGA) on Ac4PaBi6 after structural relaxation.

Cell: 9.412 9.412 9.412 Å, 88.31 88.31 88.31°
Atoms (fractional coordinates):
Ac1 0.132 0.750 0.368
Ac2 0.250 0.250 0.250
Ac3 0.250 0.632 0.868
Ac4 0.368 0.132 0.750
Ac5 0.632 0.868 0.250
Ac6 0.750 0.368 0.132
Ac7 0.750 0.750 0.750
Ac8 0.868 0.250 0.632
Pa1 0.000 0.000 0.000
Pa2 0.500 0.500 0.500
Bi1 0.069 0.920 0.683
Bi2 0.080 0.317 0.931
Bi3 0.183 0.420 0.569
Bi4 0.317 0.931 0.080
Bi5 0.420 0.569 0.183
Bi6 0.431 0.817 0.580
Bi7 0.569 0.183 0.420
Bi8 0.580 0.431 0.817
Bi9 0.683 0.069 0.920
Bi10 0.817 0.580 0.431
Bi11 0.920 0.683 0.069
Bi12 0.931 0.080 0.317

Results
Formation energy in eV per atom: -0.719
Density of states at the Fermi level in states/eV/f.u.: 8.9
Density in g/cm³: 9.545
Size of the total moment in μB/cell: 0.01

---

6.
VASP calculation (PBE-GGA) on MgSc3 after structural relaxation.

Cell: 7.262 7.262 7.262 Å, 90.00 90.00 90.00°
Atoms (fractional coordinates):
Mg1 0.000 0.000 0.000
Mg2 0.000 0.500 0.500
Mg3 0.500 0.000 0.500
Mg4 0.500 0.500 0.000
Sc1 0.000 0.000 0.500
Sc2 0.000 0.500 0.000
Sc3 0.250 0.250 0.250
Sc4 0.250 0.250 0.750
Sc5 0.250 0.750 0.250
Sc6 0.250 0.750 0.750
Sc7 0.500 0.000 0.000
Sc8 0.500 0.500 0.500
Sc9 0.750 0.250 0.250
Sc10 0.750 0.250 0.750
Sc11 0.750 0.750 0.250
Sc12 0.750 0.750 0.750

Results
Formation energy in eV per atom: 0.068
Density of states at the Fermi level in states/eV/f.u.: 6.4
Density in g/cm³: 2.761
Size of the total moment in μB/cell: 0.02

---

7.
VASP calculation (PBE-GGA) on Na2Ni3As4Pt after structural relaxation.

Cell: 4.200 4.200 9.718 Å, 90.00 90.00 90.00°
Atoms (fractional coordinates):
Na1 0.000 0.500 0.250
Na2 0.500 0.000 0.750
Ni1 0.000 0.000 0.000
Ni2 0.000 0.500 0.621
Ni3 0.500 0.000 0.379
As1 0.000 0.000 0.500
As2 0.000 0.500 0.862
As3 0.500 0.000 0.138
As4 0.500 0.500 0.500
Pt1 0.500 0.500 0.000

Results
Formation energy in eV per atom: -0.341
Density of states at the Fermi level in states/eV/f.u.: 6.9
Density in g/cm³: 6.944
Size of the total moment in μB/cell: 0.00

---

8.
VASP calculation (PBE-GGA) on Na2Li5Tl2Hg after structural relaxation.

Cell: 11.608 11.608 3.436 Å, 90.00 90.00 90.00°
Atoms (fractional coordinates):
Na1 0.170 0.330 0.000
Na2 0.330 0.830 0.000
Na3 0.670 0.170 0.000
Na4 0.830 0.670 0.000
Li1 0.000 0.500 0.500
Li2 0.057 0.815 0.500
Li3 0.185 0.057 0.500
Li4 0.315 0.557 0.500
Li5 0.443 0.315 0.500
Li6 0.500 0.000 0.500
Li7 0.557 0.685 0.500
Li8 0.685 0.443 0.500
Li9 0.815 0.943 0.500
Li10 0.943 0.185 0.500
Tl1 0.134 0.634 0.000
Tl2 0.366 0.134 0.000
Tl3 0.634 0.866 0.000
Tl4 0.866 0.366 0.000
Hg1 0.000 0.000 0.000
Hg2 0.500 0.500 0.000

Results
Formation energy in eV per atom: -0.158
Density of states at the Fermi level in states/eV/f.u.: 4.4
Density in g/cm³: 4.950
Size of the total moment in μB/cell: 0.00

---

9.
VASP calculation (PBE-GGA) on Tb2AlO after structural relaxation.

Cell: 3.426 3.426 26.397 Å, 90.00 90.00 120.00°
Atoms (fractional coordinates):
Tb1 0.000 0.000 0.114
Tb2 0.000 0.000 0.886
Tb3 0.333 0.667 0.552
Tb4 0.333 0.667 0.781
Tb5 0.667 0.333 0.219
Tb6 0.667 0.333 0.448
Al1 0.000 0.000 0.000
Al2 0.333 0.667 0.667
Al3 0.667 0.333 0.333
O1 0.000 0.000 0.500
O2 0.333 0.667 0.167
O3 0.667 0.333 0.833

Results
Formation energy from raw total energies in eV per atom: -1.069
Density of states at the Fermi level in states/eV/f.u.: 2.7
Density in g/cm³: 6.700
Size of the total moment in μB/cell: 0.00

---

10.
VASP calculation (PBE-GGA) on GaSbCI2 after structural relaxation.

Cell: 5.648 5.648 5.439 Å, 90.00 90.00 90.00°
Atoms (fractional coordinates):
Ga1 0.000 0.000 0.000
Sb1 0.000 0.000 0.500
C1 0.500 0.500 0.500
I1 0.000 0.500 0.000
I2 0.500 0.000 0.000

Results
Formation energy from raw total energies in eV per atom: 1.632
Density of states at the Fermi level in states/eV/f.u.: 5.8
Density in g/cm³: 4.376
Size of the total moment in μB/cell: 1.14

---

11.
VASP calculation (PBE-GGA) on CaTlHg5 after structural relaxation.

Cell: 4.629 4.629 9.341 Å, 90.00 90.00 90.00°
Atoms (fractional coordinates):
Ca1 0.000 0.000 0.000
Tl1 0.500 0.500 0.500
Hg1 0.000 0.500 0.258
Hg2 0.000 0.500 0.742
Hg3 0.500 0.000 0.258
Hg4 0.500 0.000 0.742
Hg5 0.500 0.500 0.000

Results
Formation energy in eV per atom: -0.179
Density of states at the Fermi level in states/eV/f.u.: 3.4
Density in g/cm³: 10.349
Size of the total moment in μB/cell: 0.00

---

12.
VASP calculation (PBE-GGA) on AcLa8Tb5 after structural relaxation.

Cell: 8.772 8.826 8.828 Å, 113.17 117.45 98.03°
Atoms (fractional coordinates):
Ac1 0.000 0.000 0.000
La1 0.324 0.696 0.024
La2 0.378 0.376 0.279
La3 0.504 0.774 0.716
La4 0.537 0.400 0.938
La5 0.640 0.160 0.213
La6 0.798 0.525 0.735
La7 0.902 0.901 0.282
La8 0.946 0.214 0.727
Tb1 0.063 0.577 0.227
Tb2 0.132 0.375 0.509
Tb3 0.199 0.931 0.724
Tb4 0.411 0.046 0.474
Tb5 0.720 0.740 0.460

Results
Formation energy in eV per atom: 0.166
Density of states at the Fermi level in states/eV/f.u.: 20.5
Density in g/cm³: 6.910
Size of the total moment in μB/cell: 0.00

---

13.
VASP calculation (PBE-GGA) on MgInPt4 after structural relaxation.

Cell: 4.264 4.264 6.191 Å, 90.00 90.00 90.00°
Atoms (fractional coordinates):
Mg1 0.000 0.000 0.000
In1 0.500 0.500 0.500
Pt1 0.000 0.500 0.237
Pt2 0.000 0.500 0.763
Pt3 0.500 0.000 0.237
Pt4 0.500 0.000 0.763

Results
Formation energy in eV per atom: -0.200
Density of states at the Fermi level in states/eV/f.u.: 1.9
Density in g/cm³: 13.566
Size of the total moment in μB/cell: 0.00

---

14.
VASP calculation (PBE-GGA) on TaTiNbSb after structural relaxation.

Cell: 6.637 6.637 6.637 Å, 90.00 90.00 90.00°
Atoms (fractional coordinates):
Ta1 0.000 0.000 0.000
Ta2 0.000 0.500 0.500
Ta3 0.500 0.000 0.500
Ta4 0.500 0.500 0.000
Ti1 0.250 0.250 0.750
Ti2 0.250 0.750 0.250
Ti3 0.750 0.250 0.250
Ti4 0.750 0.750 0.750
Nb1 0.250 0.250 0.250
Nb2 0.250 0.750 0.750
Nb3 0.750 0.250 0.750
Nb4 0.750 0.750 0.250
Sb1 0.000 0.000 0.500
Sb2 0.000 0.500 0.000
Sb3 0.500 0.000 0.000
Sb4 0.500 0.500 0.500

Results
Formation energy from raw total energies in eV per atom: -0.077
Density of states at the Fermi level in states/eV/f.u.: 4.0
Density in g/cm³: 10.073
Size of the total moment in μB/cell: 0.81

---

15.
VASP calculation (PBE-GGA) on Tb5DyPt6 after structural relaxation.

Cell: 8.595 8.595 4.984 Å, 106.61 106.61 47.68°
Atoms (fractional coordinates):
Tb1 0.000 0.000 0.000
Tb2 0.167 0.167 0.667
Tb3 0.333 0.333 0.333
Tb4 0.667 0.667 0.667
Tb5 0.833 0.833 0.333
Dy1 0.500 0.500 0.000
Pt1 0.085 0.583 0.834
Pt2 0.251 0.749 0.500
Pt3 0.417 0.915 0.166
Pt4 0.583 0.085 0.834
Pt5 0.749 0.251 0.500
Pt6 0.915 0.417 0.166

Results
Formation energy in eV per atom: -1.205
Density of states at the Fermi level in states/eV/f.u.: 7.2
Density in g/cm³: 13.660
Size of the total moment in μB/cell: 0.00

---

16.
VASP calculation (PBE-GGA) on NiSnSe after structural relaxation.

Cell: 4.221 4.317 6.716 Å, 90.00 90.06 90.00°
Atoms (fractional coordinates):
Ni1 0.000 0.174 0.000
Ni2 0.000 0.826 0.500
Sn1 0.501 0.144 0.712
Sn2 0.501 0.856 0.212
Se1 0.001 0.321 0.343
Se2 0.001 0.679 0.843

Results
Formation energy from raw total energies in eV per atom: -0.159
Density of states at the Fermi level in states/eV/f.u.: 1.1
Density in g/cm³: 6.958
Size of the total moment in μB/cell: 0.00